# 1
Entry from Alexandria: SbTe2IrI after structural relaxation (PBE).

## Properties
E_form (uncorrected) = 0.472 eV/atom
Energy relative to the lowest polymorph listed for this composition = 0.27 eV/f.u.
E_tot = -18.46 eV per formula unit

```
data_SbTe2IrI
_symmetry_space_group_name_H-M 'P 4/m m m'
_symmetry_Int_Tables_number 123
_symmetry_space_group_name_Hall '-P 4 2'
_cell_length_a 5.268
_cell_length_b 5.268
_cell_length_c 5.349
_cell_angle_alpha 90.00
_cell_angle_beta 90.00
_cell_angle_gamma 90.00
loop_
_atom_site_label
_atom_site_type_symbol
_atom_site_fract_x
_atom_site_fract_y
_atom_site_fract_z
_atom_site_occupancy
Sb1 Sb 0.000 0.000 0.000 1
Te1 Te 0.000 0.500 0.500 1
Ir1 Ir 0.500 0.500 0.500 1
I1 I 0.500 0.500 0.000 1
```

***

# 2
Entry from Alexandria: TiSb2IrI after structural relaxation (PBE).

## Properties
E_form (uncorrected) = 1.035 eV/atom
Energy relative to the lowest polymorph listed for this composition = 1.14 eV/f.u.
E_tot = -21.38 eV per formula unit

```
data_TiSb2IrI
_symmetry_space_group_name_H-M 'P 4/m m m'
_symmetry_Int_Tables_number 123
_symmetry_space_group_name_Hall '-P 4 2'
_cell_length_a 5.253
_cell_length_b 5.253
_cell_length_c 5.130
_cell_angle_alpha 90.00
_cell_angle_beta 90.00
_cell_angle_gamma 90.00
loop_
_atom_site_label
_atom_site_type_symbol
_atom_site_fract_x
_atom_site_fract_y
_atom_site_fract_z
_atom_site_occupancy
Ti1 Ti 0.000 0.000 0.000 1
Sb1 Sb 0.000 0.500 0.000 1
Ir1 Ir 0.500 0.500 0.500 1
I1 I 0.000 0.000 0.500 1
```

***

Q: What is the energy relative to the lowest polymorph listed for this composition in the first record?
A: 0.27 eV/f.u.

***

Q: Which of these has the lowest E_tot?
A: TiSb2IrI

***

Q: Among the records above, which one has the highest E_form (uncorrected)?
A: TiSb2IrI

***

Q: What is the formula in the first record?
A: SbTe2IrI